Entry 1:
Entry from Alexandria: crystalline KBi3H at its relaxed geometry (PBE).

a b c (Å): 6.115 6.115 6.115
angles (deg): 90.00 90.00 90.00
Fractional coordinates of all 5 atoms:
1 K 0.000 0.000 0.000
2 Bi 0.000 0.000 0.500
3 Bi 0.000 0.500 0.000
4 Bi 0.500 0.000 0.000
5 H 0.500 0.500 0.500

calculated total energy: -1.7553 eV per atom
energy above the lowest structure with this stoichiometry: 6.82 eV/f.u.
calculated volume: 228.6 Å³ per cell
crystal system: cubic
Fermi-level density of states: 7.958 states/eV per cell


Entry 2:
Entry from Alexandria: crystalline KBiH3 at its relaxed geometry (PBE).

a b c (Å): 4.499 4.499 4.499
angles (deg): 90.00 90.00 90.00
Fractional coordinates of all 5 atoms:
1 K 0.000 0.000 0.000
2 Bi 0.500 0.500 0.500
3 H 0.000 0.500 0.500
4 H 0.500 0.000 0.500
5 H 0.500 0.500 0.000

calculated total energy: -2.8328 eV per atom
energy above the lowest structure with this stoichiometry: 0.00 eV/f.u.
calculated volume: 91.1 Å³ per cell
crystal system: cubic
Fermi-level density of states: 0.941 states/eV per cell


Entry 3:
Entry from Alexandria: crystalline K2Bi2H at its relaxed geometry (PBE).

a b c (Å): 7.864 7.864 6.127
angles (deg): 90.00 90.00 90.00
Fractional coordinates of all 10 atoms:
1 K 0.192 0.308 0.000
2 K 0.308 0.808 0.000
3 K 0.692 0.192 0.000
4 K 0.808 0.692 0.000
5 Bi 0.126 0.626 0.500
6 Bi 0.374 0.126 0.500
7 Bi 0.626 0.874 0.500
8 Bi 0.874 0.374 0.500
9 H 0.000 0.000 0.000
10 H 0.500 0.500 0.000

calculated total energy: -2.5534 eV per atom
energy above the lowest structure with this stoichiometry: 0.78 eV/f.u.
calculated volume: 378.9 Å³ per cell
crystal system: tetragonal
Fermi-level density of states: 7.182 states/eV per cell


Entry 4:
Entry from Alexandria: crystalline K5Bi2H4 at its relaxed geometry (PBE).

a b c (Å): 9.502 8.094 7.308
angles (deg): 76.00 55.74 48.26
Fractional coordinates of all 11 atoms:
1 K 0.000 0.000 0.000
2 K 0.000 0.000 0.500
3 K 0.250 0.250 0.250
4 K 0.500 0.500 0.000
5 K 0.750 0.750 0.750
6 Bi 0.402 0.402 0.598
7 Bi 0.598 0.598 0.402
8 H 0.063 0.693 0.307
9 H 0.307 0.937 0.063
10 H 0.693 0.063 0.937
11 H 0.937 0.307 0.693

calculated total energy: -2.4800 eV per atom
calculated volume: 338.5 Å³ per cell
crystal system: orthorhombic
Fermi-level density of states: 3.429 states/eV per cell


Entry 5:
Entry from Alexandria: crystalline KBi2H at its relaxed geometry (PBE).

a b c (Å): 7.045 7.045 10.219
angles (deg): 90.00 90.00 90.00
Fractional coordinates of all 16 atoms:
1 K 0.000 0.250 0.375
2 K 0.000 0.750 0.625
3 K 0.500 0.250 0.125
4 K 0.500 0.750 0.875
5 Bi 0.000 0.000 0.000
6 Bi 0.000 0.500 0.000
7 Bi 0.250 0.250 0.750
8 Bi 0.250 0.750 0.250
9 Bi 0.500 0.000 0.500
10 Bi 0.500 0.500 0.500
11 Bi 0.750 0.250 0.750
12 Bi 0.750 0.750 0.250
13 H 0.000 0.250 0.875
14 H 0.000 0.750 0.125
15 H 0.500 0.250 0.625
16 H 0.500 0.750 0.375

calculated total energy: -2.9975 eV per atom
energy above the lowest structure with this stoichiometry: 0.00 eV/f.u.
calculated volume: 507.2 Å³ per cell
crystal system: tetragonal
Fermi-level density of states: 7.579 states/eV per cell


Entry 6:
Entry from Alexandria: crystalline KBi2H at its relaxed geometry (PBE).

a b c (Å): 7.631 7.631 7.631
angles (deg): 90.00 90.00 90.00
Fractional coordinates of all 16 atoms:
1 K 0.000 0.000 0.000
2 K 0.000 0.500 0.500
3 K 0.500 0.000 0.500
4 K 0.500 0.500 0.000
5 Bi 0.250 0.250 0.250
6 Bi 0.250 0.250 0.750
7 Bi 0.250 0.750 0.250
8 Bi 0.250 0.750 0.750
9 Bi 0.750 0.250 0.250
10 Bi 0.750 0.250 0.750
11 Bi 0.750 0.750 0.250
12 Bi 0.750 0.750 0.750
13 H 0.000 0.000 0.500
14 H 0.000 0.500 0.000
15 H 0.500 0.000 0.000
16 H 0.500 0.500 0.500

calculated total energy: -2.4067 eV per atom
energy above the lowest structure with this stoichiometry: 2.36 eV/f.u.
calculated volume: 444.4 Å³ per cell
crystal system: cubic
Fermi-level density of states: 8.934 states/eV per cell